The following is a PBE calculation of a relaxed structure of Ac2Cu2Pb, from Alexandria.

Cell lengths 4.213, 8.098, 8.098 Å; angles 90.00, 90.00, 90.00 degrees
Fractional coordinates of all 10 atoms:
Ac 0.500 0.179 0.679
Ac 0.500 0.679 0.821
Ac 0.500 0.821 0.321
Ac 0.500 0.321 0.179
Cu 0.000 0.389 0.889
Cu 0.000 0.889 0.611
Cu 0.000 0.611 0.111
Cu 0.000 0.111 0.389
Pb 0.000 0.000 0.000
Pb 0.000 0.500 0.500

**Energy above the lowest structure with this stoichiometry**: 0.011 eV/atom
**Crystal system**: tetragonal
**Calculated formation energy**: -1.54 eV per formula unit
**Calculated total energy**: -21.66 eV/f.u.